The following is a DFT calculation (PBE-GGA) of crystalline KGa3Si3 at its relaxed geometry.

Results
Magnetic moment: 0.0 μB/f.u.
Calculated total energy: -51.9 eV per cell
Raw formation energy: 74 meV/atom

Unit cell a=6.993 b=6.993 c=6.993 alpha=90.00 beta=90.00 gamma=90.00
Space group Pm-3n (No. 223)
Unique sites:
K  0.000  0.000  0.000 x2
Ga  0.000  0.250  0.500 x6
Si  0.000  0.500  0.250 x6